# 1
First-principles (PBE-GGA) data for a geometry-optimized CsTl structure, as listed in the Alexandria database.

* DOS at the Fermi energy: 1.5 states/eV/cell
* relative energy among the computed polymorphs: 51.56 kJ/mol of atoms
* energy of formation: 460 meV/atom

a = 6.140 Å, b = 6.140 Å, c = 6.140 Å
α = 60.00°, β = 60.00°, γ = 60.00°
Positions (direct):
Cs 0.000 0.000 0.000
Tl 0.750 0.750 0.750


# 2
First-principles (PBE-GGA) data for a geometry-optimized Cs6Tl23 structure, as listed in the Alexandria database.

* DOS at the Fermi energy: 21.3 states/eV/cell
* energy of formation: -68 meV/atom

a = 11.584 Å, b = 11.584 Å, c = 11.584 Å
α = 60.00°, β = 60.00°, γ = 60.00°
Positions (direct):
Cs 0.210 0.210 0.790
Cs 0.210 0.790 0.210
Cs 0.210 0.790 0.790
Cs 0.790 0.210 0.210
Cs 0.790 0.210 0.790
Cs 0.790 0.790 0.210
Tl 0.000 0.000 0.500
Tl 0.000 0.500 0.000
Tl 0.000 0.500 0.500
Tl 0.127 0.624 0.624
Tl 0.176 0.176 0.176
Tl 0.176 0.176 0.473
Tl 0.176 0.473 0.176
Tl 0.376 0.376 0.376
Tl 0.376 0.376 0.873
Tl 0.376 0.873 0.376
Tl 0.473 0.176 0.176
Tl 0.500 0.000 0.000
Tl 0.500 0.000 0.500
Tl 0.500 0.500 0.000
Tl 0.500 0.500 0.500
Tl 0.527 0.824 0.824
Tl 0.624 0.127 0.624
Tl 0.624 0.624 0.127
Tl 0.624 0.624 0.624
Tl 0.824 0.527 0.824
Tl 0.824 0.824 0.527
Tl 0.824 0.824 0.824
Tl 0.873 0.376 0.376


# 3
First-principles (PBE-GGA) data for a geometry-optimized CsTl structure, as listed in the Alexandria database.

* DOS at the Fermi energy: 10.8 states/eV/cell
* relative energy among the computed polymorphs: 2.78 kJ/mol of atoms
* energy of formation: -46 meV/atom

a = 9.298 Å, b = 12.247 Å, c = 7.592 Å
α = 90.00°, β = 90.00°, γ = 90.00°
Positions (direct):
Cs 0.241 0.080 0.120
Cs 0.241 0.420 0.120
Cs 0.259 0.580 0.620
Cs 0.259 0.920 0.620
Cs 0.741 0.080 0.380
Cs 0.741 0.420 0.380
Cs 0.759 0.580 0.880
Cs 0.759 0.920 0.880
Tl 0.073 0.250 0.624
Tl 0.109 0.750 0.058
Tl 0.391 0.250 0.558
Tl 0.427 0.750 0.124
Tl 0.573 0.250 0.876
Tl 0.609 0.750 0.442
Tl 0.891 0.250 0.942
Tl 0.927 0.750 0.376


# 4
First-principles (PBE-GGA) data for a geometry-optimized CsTl structure, as listed in the Alexandria database.

* DOS at the Fermi energy: 2.1 states/eV/cell
* relative energy among the computed polymorphs: 1.10 kJ/mol of atoms
* energy of formation: -63 meV/atom

a = 7.391 Å, b = 7.391 Å, c = 7.391 Å
α = 140.31°, β = 124.85°, γ = 70.07°
Positions (direct):
Cs 0.345 0.095 0.250
Cs 0.655 0.905 0.750
Tl 0.067 0.317 0.750
Tl 0.933 0.683 0.250


# 5
First-principles (PBE-GGA) data for a geometry-optimized Cs2Tl structure, as listed in the Alexandria database.

* DOS at the Fermi energy: 5.4 states/eV/cell
* relative energy among the computed polymorphs: 0.00 kJ/mol of atoms
* energy of formation: -35 meV/atom

a = 9.595 Å, b = 9.595 Å, c = 11.738 Å
α = 123.69°, β = 123.69°, γ = 32.49°
Positions (direct):
Cs 0.022 0.022 0.319
Cs 0.298 0.298 0.833
Cs 0.702 0.702 0.167
Cs 0.978 0.978 0.681
Tl 0.281 0.281 0.474
Tl 0.719 0.719 0.526


# 6
First-principles (PBE-GGA) data for a geometry-optimized CsTl5 structure, as listed in the Alexandria database.

* DOS at the Fermi energy: 3.0 states/eV/cell
* relative energy among the computed polymorphs: 4.94 kJ/mol of atoms
* energy of formation: -1 meV/atom

a = 7.789 Å, b = 7.789 Å, c = 5.379 Å
α = 90.00°, β = 90.00°, γ = 139.21°
Positions (direct):
Cs 0.000 0.000 0.000
Tl 0.182 0.818 0.500
Tl 0.320 0.680 0.000
Tl 0.500 0.500 0.500
Tl 0.680 0.320 0.000
Tl 0.818 0.182 0.500


# 7
First-principles (PBE-GGA) data for a geometry-optimized Cs2Tl structure, as listed in the Alexandria database.

* DOS at the Fermi energy: 6.8 states/eV/cell
* relative energy among the computed polymorphs: 33.33 kJ/mol of atoms
* energy of formation: 311 meV/atom

a = 8.115 Å, b = 8.115 Å, c = 8.115 Å
α = 60.00°, β = 60.00°, γ = 60.00°
Positions (direct):
Cs 0.000 0.000 0.000
Cs 0.000 0.000 0.500
Cs 0.000 0.500 0.000
Cs 0.500 0.000 0.000
Tl 0.375 0.375 0.375
Tl 0.625 0.625 0.625


# 8
First-principles (PBE-GGA) data for a geometry-optimized CsTl5 structure, as listed in the Alexandria database.

* DOS at the Fermi energy: 2.6 states/eV/cell
* relative energy among the computed polymorphs: 0.00 kJ/mol of atoms
* energy of formation: -52 meV/atom

a = 5.761 Å, b = 5.761 Å, c = 9.057 Å
α = 99.58°, β = 99.58°, γ = 51.69°
Positions (direct):
Cs 0.000 0.000 0.000
Tl 0.000 0.000 0.500
Tl 0.325 0.325 0.648
Tl 0.355 0.355 0.277
Tl 0.645 0.645 0.723
Tl 0.675 0.675 0.352


# 9
First-principles (PBE-GGA) data for a geometry-optimized CsTmTl2 structure, as listed in the Alexandria database.

* DOS at the Fermi energy: 4.2 states/eV/cell
* relative energy among the computed polymorphs: 16.29 kJ/mol of atoms
* energy of formation: 14 meV/atom

a = 11.436 Å, b = 11.436 Å, c = 11.436 Å
α = 19.14°, β = 19.14°, γ = 19.14°
Positions (direct):
Cs 0.000 0.000 0.000
Tm 0.500 0.500 0.500
Tl 0.238 0.238 0.238
Tl 0.762 0.762 0.762


# 10
First-principles (PBE-GGA) data for a geometry-optimized CsTm4Tl5 structure, as listed in the Alexandria database.

* DOS at the Fermi energy: 5.2 states/eV/cell
* energy of formation: -236 meV/atom

a = 3.809 Å, b = 3.809 Å, c = 20.456 Å
α = 90.00°, β = 90.00°, γ = 90.00°
Positions (direct):
Cs 0.000 0.000 0.000
Tm 0.000 0.000 0.228
Tm 0.000 0.000 0.409
Tm 0.000 0.000 0.591
Tm 0.000 0.000 0.772
Tl 0.500 0.500 0.143
Tl 0.500 0.500 0.319
Tl 0.500 0.500 0.500
Tl 0.500 0.500 0.681
Tl 0.500 0.500 0.857


# 11
First-principles (PBE-GGA) data for a geometry-optimized CsTmTl2 structure, as listed in the Alexandria database.

* DOS at the Fermi energy: 2.6 states/eV/cell
* relative energy among the computed polymorphs: 0.00 kJ/mol of atoms
* energy of formation: -155 meV/atom

a = 3.887 Å, b = 3.887 Å, c = 9.262 Å
α = 90.00°, β = 90.00°, γ = 90.00°
Positions (direct):
Cs 0.000 0.000 0.000
Tm 0.000 0.000 0.500
Tl 0.500 0.500 0.312
Tl 0.500 0.500 0.688


# 12
First-principles (PBE-GGA) data for a geometry-optimized Cs3TlV structure, as listed in the Alexandria database.

* DOS at the Fermi energy: 7.5 states/eV/cell
* energy of formation: 893 meV/atom

a = 6.855 Å, b = 6.855 Å, c = 6.855 Å
α = 90.00°, β = 90.00°, γ = 90.00°
Positions (direct):
Cs 0.000 0.000 0.500
Cs 0.000 0.500 0.000
Cs 0.500 0.000 0.000
Tl 0.500 0.500 0.500
V 0.000 0.000 0.000


DOS at the Fermi energy of number 2 (Cs6Tl23)?
21.3 states/eV/cell


Among the records above, which one has the lowest DOS at the Fermi energy?
number 1